[1]
## CePrEr2Tl4 (PBE)

Data for a geometry-optimized CePrEr2Tl4 structure.

Lattice parameters (Å, degrees): 5.4354 5.4354 26.6909 90.00 90.00 120.00
Space group R-3m (No. 166, hexagonal axes)
Symmetry-distinct sites (fractional):
1 Ce 0.0000 0.0000 0.0000 [3 per cell]
2 Pr 0.0000 0.0000 0.5000 [3 per cell]
3 Er 0.0000 0.0000 0.2500 [6 per cell]
4 Tl 0.0000 0.0000 0.1245 [6 per cell]
5 Tl 0.0000 0.0000 0.3746 [6 per cell]

E_form: -308 meV per atom

=====

[2]
## RbGaSb2 (PBE)

Data for a geometry-optimized RbGaSb2 structure.

Lattice parameters (Å, degrees): 6.388 14.420 6.458 90.00 111.57 90.00
Space group C2/c (No. 15)
Symmetry-distinct sites (fractional):
1 Rb 0.000 0.103 0.250 [4 per cell]
2 Ga 0.000 0.263 0.750 [4 per cell]
3 Sb 0.158 0.367 0.135 [8 per cell]

Energy relative to the elements, uncorrected: -275 meV/atom

=====

[3]
## CsAlPdF2 (PBE)

Data for a geometry-optimized CsAlPdF2 structure.

Lattice parameters (Å, degrees): 4.023 4.023 8.375 90.00 90.00 90.00
Space group P4/mmm (No. 123)
Symmetry-distinct sites (fractional):
1 Cs 0.000 0.000 0.000 [1 per cell]
2 Al 0.000 0.000 0.500 [1 per cell]
3 Pd 0.500 0.500 0.000 [1 per cell]
4 F 0.000 0.500 0.500 [2 per cell]

Energy relative to the elements, uncorrected: -1017 meV/atom

=====

[4]
## NpTl2TeO6 (PBE)

Data for a geometry-optimized NpTl2TeO6 structure.

Lattice parameters (Å, degrees): 8.588 8.588 8.588 90.00 90.00 90.00
Space group Fm-3m (No. 225)
Symmetry-distinct sites (fractional):
1 Np 0.000 0.000 0.000 [4 per cell]
2 Tl 0.250 0.250 0.250 [8 per cell]
3 Te 0.000 0.000 0.500 [4 per cell]
4 O 0.000 0.000 0.245 [24 per cell]

Energy relative to the elements, uncorrected: -1582 meV/atom